No. 1
# PBE ZrAu2Se, optimized geometry
# Size of the total moment: 0.00 μB/f.u.
# E_form (uncorrected): -1.63 eV per formula unit
data_ZrAu2Se
_cell_length_a 5.4717
_cell_length_b 5.7471
_cell_length_c 5.1917
_cell_angle_alpha 90.00
_cell_angle_beta 90.00
_cell_angle_gamma 90.00
_symmetry_space_group_name_H-M 'C m m m'
_symmetry_Int_Tables_number 65
_symmetry_space_group_name_Hall '-C 2 2'
loop_
_atom_site_label
_atom_site_fract_x
_atom_site_fract_y
_atom_site_fract_z
_atom_site_occupancy
Zr1 0.0000 0.0000 0.0000 1
Au1 0.0000 0.2454 0.5000 1
Se1 0.0000 0.5000 0.0000 1



No. 2
# PBE LaTaSi2, optimized geometry
# Polymorph energy (0 for the lowest one): 518 meV/atom
# Size of the total moment: 0.00 μB/f.u.
# E_form (uncorrected): 0.41 eV per formula unit
data_LaTaSi2
_cell_length_a 4.0319
_cell_length_b 4.3284
_cell_length_c 4.5787
_cell_angle_alpha 90.00
_cell_angle_beta 90.00
_cell_angle_gamma 90.00
_symmetry_space_group_name_H-M 'P m m m'
_symmetry_Int_Tables_number 47
_symmetry_space_group_name_Hall '-P 2 2'
loop_
_atom_site_label
_atom_site_fract_x
_atom_site_fract_y
_atom_site_fract_z
_atom_site_occupancy
La1 0.0000 0.0000 0.0000 1
Ta1 0.0000 0.5000 0.5000 1
Si1 0.5000 0.0000 0.5000 1
Si2 0.5000 0.5000 0.0000 1



No. 3
# PBE AcDyH8Ir2, optimized geometry
# Size of the total moment: 0.00 μB/f.u.
# Energy: -4.736 eV per atom
data_AcDyH8Ir2
_cell_length_a 4.9134
_cell_length_b 4.9134
_cell_length_c 19.3032
_cell_angle_alpha 90.00
_cell_angle_beta 90.00
_cell_angle_gamma 120.00
_symmetry_space_group_name_H-M 'R -3'
_symmetry_Int_Tables_number 148
_symmetry_space_group_name_Hall '-R 3'
loop_
_atom_site_label
_atom_site_fract_x
_atom_site_fract_y
_atom_site_fract_z
_atom_site_occupancy
Ac1 0.0000 0.0000 0.0000 1
Dy1 0.0000 0.0000 0.5000 1
H1 0.0000 0.0000 0.3159 1
H2 0.0479 0.6000 0.5552 1
Ir1 0.0000 0.0000 0.2321 1



No. 4
# PBE TaCoAs, optimized geometry
# Formation enthalpy at 0 K: -67.1 meV/atom
# Size of the total moment: 0.00 μB/f.u.
data_TaCoAs
_cell_length_a 2.8570
_cell_length_b 3.3240
_cell_length_c 9.1856
_cell_angle_alpha 90.00
_cell_angle_beta 90.00
_cell_angle_gamma 90.00
_symmetry_space_group_name_H-M 'I m m 2'
_symmetry_Int_Tables_number 44
_symmetry_space_group_name_Hall 'I 2 -2'
loop_
_atom_site_label
_atom_site_fract_x
_atom_site_fract_y
_atom_site_fract_z
_atom_site_occupancy
Ta1 0.0000 0.0000 0.0000 1
Co1 0.0000 0.0000 0.6705 1
As1 0.0000 0.0000 0.3076 1



No. 5
# PBE CuAs2Ir, optimized geometry
# Polymorph energy (0 for the lowest one): 0 meV/atom
# Formation enthalpy at 0 K: 51.7 meV/atom
# Size of the total moment: 0.00 μB/f.u.
data_CuAs2Ir
_cell_length_a 3.9150
_cell_length_b 3.9153
_cell_length_c 5.1869
_cell_angle_alpha 90.00
_cell_angle_beta 90.21
_cell_angle_gamma 90.00
_symmetry_space_group_name_H-M 'P 1 m 1'
_symmetry_Int_Tables_number 6
_symmetry_space_group_name_Hall 'P -2y'
loop_
_atom_site_label
_atom_site_fract_x
_atom_site_fract_y
_atom_site_fract_z
_atom_site_occupancy
Cu1 0.0000 0.0000 0.0000 1
As1 0.5014 0.0000 0.2843 1
As2 0.9987 0.5000 0.7159 1
Ir1 0.4999 0.5000 0.0001 1



No. 6
# PBE ScNbZnCu2, optimized geometry
# Formation enthalpy at 0 K: 1142.7 meV/atom
# Size of the total moment: 0.00 μB/f.u.
data_ScNbZnCu2
_cell_length_a 4.8259
_cell_length_b 4.8259
_cell_length_c 4.9347
_cell_angle_alpha 90.00
_cell_angle_beta 90.00
_cell_angle_gamma 90.00
_symmetry_space_group_name_H-M 'P 4/m m m'
_symmetry_Int_Tables_number 123
_symmetry_space_group_name_Hall '-P 4 2'
loop_
_atom_site_label
_atom_site_fract_x
_atom_site_fract_y
_atom_site_fract_z
_atom_site_occupancy
Sc1 0.0000 0.0000 0.0000 1
Nb1 0.0000 0.0000 0.5000 1
Zn1 0.5000 0.5000 0.0000 1
Cu1 0.0000 0.5000 0.5000 1



No. 7
# PBE PrNi6Ge2, optimized geometry
# Formation enthalpy at 0 K: -295.7 meV/atom
# Size of the total moment: 1.20 μB/f.u.
data_PrNi6Ge2
_cell_length_a 4.1071
_cell_length_b 4.1071
_cell_length_c 7.6978
_cell_angle_alpha 90.00
_cell_angle_beta 90.00
_cell_angle_gamma 90.00
_symmetry_space_group_name_H-M 'P 4/m m m'
_symmetry_Int_Tables_number 123
_symmetry_space_group_name_Hall '-P 4 2'
loop_
_atom_site_label
_atom_site_fract_x
_atom_site_fract_y
_atom_site_fract_z
_atom_site_occupancy
Pr1 0.0000 0.0000 0.0000 1
Ni1 0.0000 0.0000 0.5000 1
Ni2 0.0000 0.5000 0.3238 1
Ni3 0.5000 0.5000 0.5000 1
Ge1 0.5000 0.5000 0.1718 1



No. 8
# PBE Sm2GdY, optimized geometry
# Polymorph energy (0 for the lowest one): 3 meV/atom
# Formation enthalpy at 0 K: 18.1 meV/atom
# Size of the total moment: 7.18 μB/f.u.
data_Sm2GdY
_cell_length_a 3.6064
_cell_length_b 3.6064
_cell_length_c 10.1819
_cell_angle_alpha 90.00
_cell_angle_beta 90.00
_cell_angle_gamma 90.00
_symmetry_space_group_name_H-M 'P 4/m m m'
_symmetry_Int_Tables_number 123
_symmetry_space_group_name_Hall '-P 4 2'
loop_
_atom_site_label
_atom_site_fract_x
_atom_site_fract_y
_atom_site_fract_z
_atom_site_occupancy
Sm1 0.0000 0.0000 0.2492 1
Gd1 0.5000 0.5000 0.5000 1
Y1 0.5000 0.5000 0.0000 1



- Number 3 is which compound?
  AcDyH8Ir2



Copy entry 4 word for word.
# PBE TaCoAs, optimized geometry
# Formation enthalpy at 0 K: -67.1 meV/atom
# Size of the total moment: 0.00 μB/f.u.
data_TaCoAs
_cell_length_a 2.8570
_cell_length_b 3.3240
_cell_length_c 9.1856
_cell_angle_alpha 90.00
_cell_angle_beta 90.00
_cell_angle_gamma 90.00
_symmetry_space_group_name_H-M 'I m m 2'
_symmetry_Int_Tables_number 44
_symmetry_space_group_name_Hall 'I 2 -2'
loop_
_atom_site_label
_atom_site_fract_x
_atom_site_fract_y
_atom_site_fract_z
_atom_site_occupancy
Ta1 0.0000 0.0000 0.0000 1
Co1 0.0000 0.0000 0.6705 1
As1 0.0000 0.0000 0.3076 1



- What is the size of the total moment in the third record?
  0.00 μB/f.u.